Entry 1:
VASP calculation (PBE-GGA) on a geometry-optimized WC3 structure.

Cell lengths 2.765, 2.765, 24.926 Å; angles 90.00, 90.00, 90.00 degrees
Space group I4/mmm (No. 139)
Symmetry-distinct sites (fractional):
W: 0.000 0.000 0.181 [4 per cell]
C: 0.000 0.000 0.351 [4 per cell]
C: 0.000 0.500 0.000 [4 per cell]
C: 0.000 0.500 0.250 [4 per cell]

Calculated values
Crystal system ... tetragonal
Density ... 7.66 g/cm³

Entry 2:
VASP calculation (PBE-GGA) on a geometry-optimized W3C structure.

Cell lengths 4.805, 4.805, 4.805 Å; angles 90.00, 90.00, 90.00 degrees
Space group Pm-3n (No. 223)
Symmetry-distinct sites (fractional):
W: 0.000 0.250 0.500 [6 per cell]
C: 0.000 0.000 0.000 [2 per cell]

Calculated values
Crystal system ... cubic
Density ... 16.87 g/cm³

Entry 3:
VASP calculation (PBE-GGA) on a geometry-optimized WC5 structure.

Cell lengths 4.5844, 4.5844, 2.5039 Å; angles 90.00, 90.00, 120.00 degrees
Space group P6/mmm (No. 191)
Symmetry-distinct sites (fractional):
W: 0.0000 0.0000 0.0000 [1 per cell]
C: 0.0000 0.5000 0.5000 [3 per cell]
C: 0.3333 0.6667 0.0000 [2 per cell]

Calculated values
Crystal system ... hexagonal
Density ... 8.89 g/cm³

Entry 4:
VASP calculation (PBE-GGA) on a geometry-optimized W5C3 structure.

Cell lengths 6.3243, 6.3243, 5.5556 Å; angles 90.00, 90.00, 120.00 degrees
Space group P6_3/mcm (No. 193)
Symmetry-distinct sites (fractional):
W: 0.0000 0.2450 0.2500 [6 per cell]
W: 0.3333 0.6667 0.0000 [4 per cell]
C: 0.0000 0.4045 0.7500 [6 per cell]

Calculated values
Crystal system ... hexagonal
Density ... 16.49 g/cm³

Entry 5:
VASP calculation (PBE-GGA) on a geometry-optimized WC structure.

Cell lengths 6.443, 6.443, 6.443 Å; angles 90.00, 90.00, 90.00 degrees
Space group I-43m (No. 217)
Symmetry-distinct sites (fractional):
W: 0.157 0.157 0.843 [8 per cell]
C: 0.163 0.163 0.163 [8 per cell]

Calculated values
Crystal system ... cubic
Density ... 9.73 g/cm³

Entry 6:
VASP calculation (PBE-GGA) on a geometry-optimized WC3 structure.

Cell lengths 4.2329, 4.2329, 10.2016 Å; angles 90.00, 90.00, 120.00 degrees
Space group P6_3/mmc (No. 194)
Symmetry-distinct sites (fractional):
W: 0.0000 0.0000 0.0000 [2 per cell]
W: 0.3333 0.6667 0.2500 [2 per cell]
C: 0.0000 0.5000 0.0000 [6 per cell]
C: 0.2186 0.4373 0.7500 [6 per cell]

Calculated values
Crystal system ... hexagonal
Density ... 9.23 g/cm³

Entry 7:
VASP calculation (PBE-GGA) on a geometry-optimized W3C4 structure.

Cell lengths 4.678, 4.678, 4.678 Å; angles 90.00, 90.00, 90.00 degrees
Space group P-43m (No. 215)
Symmetry-distinct sites (fractional):
W: 0.000 0.000 0.500 [3 per cell]
C: 0.240 0.240 0.240 [4 per cell]

Calculated values
Crystal system ... cubic
Density ... 9.72 g/cm³

Entry 8:
VASP calculation (PBE-GGA) on a geometry-optimized WC5 structure.

Cell lengths 5.778, 5.778, 5.778 Å; angles 90.00, 90.00, 90.00 degrees
Space group F-43m (No. 216)
Symmetry-distinct sites (fractional):
W: 0.000 0.000 0.000 [4 per cell]
C: 0.096 0.096 0.404 [16 per cell]
C: 0.250 0.250 0.750 [4 per cell]

Calculated values
Crystal system ... cubic
Density ... 8.40 g/cm³

Entry 9:
VASP calculation (PBE-GGA) on a geometry-optimized WC structure.

Cell lengths 3.1203, 3.1203, 23.1792 Å; angles 90.00, 90.00, 120.00 degrees
Space group R-3m (No. 166, hexagonal axes)
Symmetry-distinct sites (fractional):
W: 0.0000 0.0000 0.1141 [6 per cell]
C: 0.0000 0.0000 0.4097 [6 per cell]

Calculated values
Crystal system ... trigonal
Density ... 9.98 g/cm³

Entry 10:
VASP calculation (PBE-GGA) on a geometry-optimized W3C structure.

Cell lengths 2.8602, 2.8602, 7.7440 Å; angles 90.00, 90.00, 120.00 degrees
Space group P-6m2 (No. 187)
Symmetry-distinct sites (fractional):
W: 0.0000 0.0000 0.0000 [1 per cell]
W: 0.6667 0.3333 0.3155 [2 per cell]
C: 0.0000 0.0000 0.5000 [1 per cell]

Calculated values
Crystal system ... hexagonal
Density ... 17.06 g/cm³

Entry 11:
VASP calculation (PBE-GGA) on a geometry-optimized WC structure.

Cell lengths 2.837, 7.717, 3.877 Å; angles 90.00, 90.00, 90.00 degrees
Space group Cmcm (No. 63)
Symmetry-distinct sites (fractional):
W: 0.000 0.117 0.250 [4 per cell]
C: 0.000 0.400 0.250 [4 per cell]

Calculated values
Crystal system ... orthorhombic
Density ... 15.33 g/cm³

Entry 12:
VASP calculation (PBE-GGA) on a geometry-optimized WC4 structure.

Cell lengths 3.755, 3.755, 5.631 Å; angles 90.00, 90.00, 90.00 degrees
Space group I4/mmm (No. 139)
Symmetry-distinct sites (fractional):
W: 0.000 0.000 0.000 [2 per cell]
C: 0.000 0.000 0.372 [4 per cell]
C: 0.000 0.500 0.250 [4 per cell]

Calculated values
Crystal system ... tetragonal
Density ... 9.70 g/cm³

no.,calculated formation energy (eV per atom),offset from the most stable computed form (meV per atom)
1,1.8111,849
2,1.1923,1049
3,3.0208,2276
4,0.5957,183
5,0.8131,941
6,2.0637,1102
7,0.9389,351
8,2.6861,1941
9,1.0352,1163
10,0.2106,67
11,0.5186,646
12,2.3172,1582